A geometry-optimized BaIn12Ni5 structure. Source: the Alexandria database, functional PBE.

Cell and atoms, written as POSCAR:
```
BaIn12Ni5
1.0
7.434 -0.712 -3.081
-4.169 6.719 -1.657
-0.233 0.712 8.044
In Ni Ba
12 5 1
direct
0.812 0.588 0.776 In
0.557 0.825 0.732 In
0.317 0.319 0.636 In
0.683 0.319 0.002 In
0.443 0.175 0.268 In
0.093 0.825 0.268 In
0.812 0.036 0.224 In
0.188 0.412 0.224 In
0.188 0.964 0.776 In
0.317 0.681 0.998 In
0.683 0.681 0.364 In
0.907 0.175 0.732 In
0.500 0.883 0.383 Ni
0.334 0.334 0.000 Ni
0.500 0.117 0.617 Ni
0.666 0.666 0.000 Ni
0.000 0.000 0.000 Ni
0.000 0.500 0.500 Ba
```

Summary:
The formation energy comes out at -47 meV/atom. The value obtained for the total magnetization is 0.0 μB/cell. The density is 7.7 g/cm³.